## 1
GGA-PBE SrPr2Rh, relaxed; magnetic moment = 0.00 μB/f.u.; space group = No. 123; DOS at the Fermi energy = 4.46 states/eV/f.u.
1.0
3.6614 0.0000 0.0000
0.0000 3.6614 0.0000
0.0000 0.0000 10.0488
Pr Sr Rh
2 1 1
direct
0.0000 0.0000 0.8352
0.0000 0.0000 0.1648
0.5000 0.5000 0.5000
0.5000 0.5000 0.0000

---

## 2
GGA-PBE SrPr2Rh, relaxed; magnetic moment = 0.00 μB/f.u.; space group = No. 166; DOS at the Fermi energy = 4.37 states/eV/f.u.
1.0
-3.8083 1.6210 0.6833
-2.9172 -2.2644 1.9899
0.8954 3.4562 9.6673
Pr Sr Rh
2 1 1
direct
0.2828 0.2828 0.1516
0.7172 0.7172 0.8484
0.5000 0.5000 0.5000
0.0000 0.0000 0.0000

---

## 3
GGA-PBE SrPr2Rh, relaxed; magnetic moment = 0.00 μB/f.u.; space group = No. 160; DOS at the Fermi energy = 4.45 states/eV/f.u.
1.0
4.2107 0.0000 0.0000
2.1053 3.6466 0.0000
2.1053 1.2155 9.7911
Sr Pr Rh
1 2 1
direct
0.5013 0.5013 0.4962
0.0510 0.0510 0.8470
0.2816 0.2816 0.1553
0.6662 0.6662 0.0015

---

Stability, highest: 3

---

## 1
GGA-PBE TbPrRh, relaxed; magnetic moment = 0.00 μB/f.u.; space group = No. 156; DOS at the Fermi energy = 2.85 states/eV/f.u.
1.0
-0.4036 1.7019 6.0752
-3.5159 -2.0829 0.3499
3.5730 -1.8652 0.7599
Pr Rh Tb
1 1 1
direct
0.2428 0.3333 0.6667
0.9916 0.0000 0.0000
0.7656 0.6667 0.3333

---

## 2
GGA-PBE TbPrRh, relaxed; magnetic moment = 0.00 μB/f.u.; space group = No. 8; DOS at the Fermi energy = 3.14 states/eV/f.u.
1.0
-1.9388 -3.0106 -1.3189
3.6940 -2.7567 -4.6583
3.0898 -5.7695 3.1072
Tb Rh Pr
2 2 2
direct
0.3434 0.8921 0.4210
0.7506 0.3857 0.1131
0.2974 0.5987 0.8065
0.0431 0.7103 0.2035
0.0053 0.4098 0.5795
0.5834 0.9433 0.8898

---

## 3
GGA-PBE TbPrRh, relaxed; magnetic moment = 0.00 μB/f.u.; space group = No. 216; DOS at the Fermi energy = 3.26 states/eV/f.u.
1.0
-4.7706 -1.1676 -0.0892
-1.4634 -4.4635 1.4372
-2.4765 -0.5360 4.2083
Pr Rh Tb
1 1 1
direct
0.0000 0.0000 0.0000
0.2500 0.2500 0.2500
0.5000 0.5000 0.5000

---

Stability, highest: 2

---

## 1
GGA-PBE TbPrRh, relaxed; magnetic moment = 0.00 μB/f.u.; space group = No. 14; DOS at the Fermi energy = 2.87 states/eV/f.u.
1.0
6.1694 0.0000 0.0000
0.0000 6.6684 -1.9399
0.0000 1.7850 7.9646
Tb Pr Rh
4 4 4
direct
0.8868 0.2916 0.1332
0.6132 0.7916 0.6332
0.1132 0.7084 0.8668
0.3868 0.2084 0.3668
0.3719 0.2054 0.8862
0.6281 0.7946 0.1138
0.8719 0.2946 0.6138
0.1281 0.7054 0.3862
0.3259 0.4723 0.6325
0.6741 0.5277 0.3675
0.1741 0.9723 0.1325
0.8259 0.0277 0.8675

---

## 2
GGA-PBE TbPrRh, relaxed; magnetic moment = 0.00 μB/f.u.; space group = No. 11; DOS at the Fermi energy = 2.89 states/eV/f.u.
1.0
-1.4685 0.1446 -4.2376
-5.5836 -0.5055 1.9173
1.2625 6.4939 -0.2161
Tb Pr Rh
2 2 2
direct
0.7523 0.9765 0.7971
0.2522 0.0314 0.2062
0.7523 0.5742 0.2843
0.2523 0.4337 0.7190
0.7522 0.1655 0.4521
0.2522 0.8419 0.5511

---

## 3
GGA-PBE TbPrRh, relaxed; magnetic moment = 0.00 μB/f.u.; space group = No. 107; DOS at the Fermi energy = 3.62 states/eV/f.u.
1.0
3.5255 0.0000 0.0000
0.0000 3.5255 0.0000
-1.7628 -1.7628 6.4891
Pr Tb Rh
1 1 1
direct
0.0335 0.0335 0.0669
0.2922 0.2922 0.5844
0.6743 0.6743 0.3487

---

Stability, highest: 2

---

## 1
GGA-PBE Tb2PrRh, relaxed; magnetic moment = 0.00 μB/f.u.; space group = No. 63; DOS at the Fermi energy = 5.18 states/eV/f.u.
1.0
-1.1294 -3.6523 0.2728
5.1412 0.1344 -3.8408
5.6946 -1.1947 7.5810
Tb Pr Rh
4 2 2
direct
0.1409 0.2813 0.4317
0.8591 0.7187 0.5683
0.8591 0.7187 0.9317
0.1409 0.2813 0.0683
0.4257 0.8520 0.2500
0.5743 0.1480 0.7500
0.7389 0.4780 0.2500
0.2611 0.5220 0.7500

---

## 2
GGA-PBE Tb2PrRh, relaxed; magnetic moment = 0.17 μB/f.u.; space group = No. 166; DOS at the Fermi energy = 5.48 states/eV/f.u.
1.0
3.7312 0.0000 0.0000
1.8656 3.2313 0.0000
1.8656 1.0771 10.5874
Pr Rh Tb
1 1 2
direct
0.0000 0.0000 0.0000
0.5000 0.5000 0.5000
0.1133 0.1133 0.6601
0.8867 0.8867 0.3399

---

Stability, highest: 1